Compound: RbCa2PtPb
Source: Alexandria via LeMat-Bulk
Functional: PBE-GGA
Structure: optimized geometry

Properties
Space group: P4/mmm (123)
Total moment in μB per atom: 0.000
DFT formation energy in eV/f.u.: -1.000

abc: 5.6035 5.6035 6.4511
angles: 90.00 90.00 90.00
Closest atoms and distances in Å follow each position.
Atoms (fractional coordinates):
Pb  0.5000  0.5000  0.5000  4 Rb 3.96, 8 Ca 4.27
Ca  0.0000  0.5000  0.0000  2 Pt 2.80
Ca  0.5000  0.0000  0.0000  2 Pt 2.80
Rb  0.0000  0.0000  0.5000  2 Pt 3.23
Pt  0.0000  0.0000  0.0000  4 Ca 2.80